Entry 1:
Ag6GeAu | GGA-PBE | optimized geometry

The density of states at the Fermi level is 1.83 states/eV/f.u. The calculation puts the formation enthalpy at 0 K at 78.4 kJ/mol of formula units. Its volume is 148.6 Å³ per cell. For the energy above the most stable polymorph in this dataset, the calculation gives 55 meV/atom.

It has space group P-1 (No. 2), with a = 5.293 Å, b = 5.308 Å, c = 5.327 Å, α = 94.16°, β = 93.91° and γ = 93.65°. The inequivalent atoms are Ag at (0.030, 0.248, 0.445), Ag at (0.253, 0.055, 0.968), Ag at (0.448, 0.530, 0.748), Ge at (0.000, 0.500, 0.000) and Au at (0.500, 0.000, 0.500).

---

Entry 2:
ZnSbIr2 | GGA-PBE | optimized geometry

The energy relative to the elements, uncorrected is -0.1 eV/f.u. The density of states at the Fermi level is 2.10 states/eV/f.u. Its volume is 63.7 Å³ per cell. For the energy above the most stable polymorph in this dataset, the calculation gives 28 meV/atom.

It has space group P4/mmm (No. 123), with a = 4.210 Å, b = 4.210 Å, c = 3.597 Å, α = 90.00°, β = 90.00° and γ = 90.00°. The inequivalent atoms are Zn at (0.000, 0.000, 0.000), Sb at (0.500, 0.500, 0.000) and Ir at (0.000, 0.500, 0.500).

---

Entry 3:
HfTi2Ag2S6 | GGA-PBE | optimized geometry

The energy relative to the elements, uncorrected is -11.5 eV/f.u. The density of states at the Fermi level is 6.15 states/eV/f.u. Its volume is 427.9 Å³ per cell.

It has space group C2/m (No. 12), with a = 6.130 Å, b = 10.618 Å, c = 6.575 Å, α = 90.00°, β = 90.15° and γ = 90.00°. The inequivalent atoms are Hf at (0.000, 0.000, 0.000), Ti at (0.000, 0.333, 0.000), Ag at (0.000, 0.333, 0.500), S at (0.162, 0.500, 0.779) and S at (0.168, 0.169, 0.779).

---

Entry 4:
KTl3Ag | GGA-PBE | optimized geometry

The density of states at the Fermi level is 2.03 states/eV/f.u. The calculation puts the formation enthalpy at 0 K at -19.6 kJ/mol of formula units. Its volume is 621.5 Å³ per cell. For the energy above the most stable polymorph in this dataset, the calculation gives 0 meV/atom.

It has space group Cmmm (No. 65), with a = 9.029 Å, b = 14.228 Å, c = 4.838 Å, α = 90.00°, β = 90.00° and γ = 90.00°. The inequivalent atoms are K at (0.000, 0.219, 0.000), Tl at (0.000, 0.000, 0.500), Tl at (0.000, 0.500, 0.000), Tl at (0.190, 0.374, 0.500) and Ag at (0.178, 0.000, 0.000).

---

Entry 5:
Rb2FeSiSe4 | GGA-PBE | optimized geometry

The energy relative to the elements, uncorrected is -6.0 eV/f.u. The density of states at the Fermi level is 1.78 states/eV/f.u. Its volume is 2115.4 Å³ per cell.

It has space group Fddd (No. 70, origin choice 2), with a = 6.187 Å, b = 13.773 Å, c = 24.825 Å, α = 90.00°, β = 90.00° and γ = 90.00°. The inequivalent atoms are Rb at (0.125, 0.125, 0.305), Fe at (0.125, 0.125, 0.125), Si at (0.125, 0.125, 0.625) and Se at (0.107, 0.281, 0.824).

---

Entry 6:
BaAlNO2 | GGA-PBE | optimized geometry

The energy relative to the elements, uncorrected is -7.9 eV/f.u. The density of states at the Fermi level is 1.16 states/eV/f.u. Its volume is 64.3 Å³ per cell.

It has space group P4/mmm (No. 123), with a = 4.007 Å, b = 4.007 Å, c = 4.003 Å, α = 90.00°, β = 90.00° and γ = 90.00°. The inequivalent atoms are Ba at (0.000, 0.000, 0.000), Al at (0.500, 0.500, 0.500), N at (0.500, 0.500, 0.000) and O at (0.000, 0.500, 0.500).

---

Entry 7:
LuScVCd | GGA-PBE | optimized geometry

The density of states at the Fermi level is 4.01 states/eV/f.u. The calculation puts the formation enthalpy at 0 K at 14.0 kJ/mol of formula units. Its volume is 350.7 Å³ per cell.

It has space group F-43m (No. 216), with a = 7.052 Å, b = 7.052 Å, c = 7.052 Å, α = 90.00°, β = 90.00° and γ = 90.00°. The inequivalent atoms are Lu at (0.000, 0.000, 0.000), Sc at (0.000, 0.000, 0.500), V at (0.250, 0.250, 0.750) and Cd at (0.250, 0.250, 0.250).

---

Entry 8:
Pu2GeAu2 | GGA-PBE | optimized geometry

The density of states at the Fermi level is 18.31 states/eV/f.u. The calculation puts the formation enthalpy at 0 K at -203.9 kJ/mol of formula units. Its volume is 446.2 Å³ per cell.

It has space group C2/m (No. 12), with a = 10.715 Å, b = 4.497 Å, c = 9.756 Å, α = 90.00°, β = 108.34° and γ = 90.00°. The inequivalent atoms are Pu at (0.098, 0.000, 0.388), Pu at (0.174, 0.000, 0.053), Ge at (0.229, 0.000, 0.736), Au at (0.003, 0.500, 0.855) and Au at (0.114, 0.500, 0.620).

---

Entry 9:
Mn2SiSe | GGA-PBE | optimized geometry

The energy relative to the elements, uncorrected is -0.3 eV/f.u. The density of states at the Fermi level is 2.95 states/eV/f.u. Its volume is 55.8 Å³ per cell. For the energy above the most stable polymorph in this dataset, the calculation gives 35 meV/atom.

It has space group P4mm (No. 99), with a = 3.278 Å, b = 3.278 Å, c = 5.192 Å, α = 90.00°, β = 90.00° and γ = 90.00°. The inequivalent atoms are Mn at (0.000, 0.000, 0.000), Mn at (0.500, 0.500, 0.317), Si at (0.500, 0.500, 0.849) and Se at (0.000, 0.000, 0.484).

---

Entry 10:
SmSi2Tc2B | GGA-PBE | optimized geometry

The energy relative to the elements, uncorrected is -3.8 eV/f.u. The density of states at the Fermi level is 3.96 states/eV/f.u. Its volume is 94.2 Å³ per cell.

It has space group P4/mmm (No. 123), with a = 4.220 Å, b = 4.220 Å, c = 5.289 Å, α = 90.00°, β = 90.00° and γ = 90.00°. The inequivalent atoms are Sm at (0.000, 0.000, 0.000), Si at (0.500, 0.500, 0.233), Tc at (0.000, 0.500, 0.500) and B at (0.000, 0.000, 0.500).

---

Entry 11:
TlReAu2 | GGA-PBE | optimized geometry

The density of states at the Fermi level is 2.71 states/eV/f.u. The calculation puts the formation enthalpy at 0 K at 240.6 kJ/mol of formula units. Its volume is 75.6 Å³ per cell. For the energy above the most stable polymorph in this dataset, the calculation gives 103 meV/atom.

It has space group P4mm (No. 99), with a = 2.892 Å, b = 2.892 Å, c = 9.045 Å, α = 90.00°, β = 90.00° and γ = 90.00°. The inequivalent atoms are Tl at (0.000, 0.000, 0.000), Re at (0.500, 0.500, 0.741), Au at (0.000, 0.000, 0.526) and Au at (0.500, 0.500, 0.286).

---

Entry 12:
BaZn2Br | GGA-PBE | optimized geometry

The energy relative to the elements, uncorrected is -2.3 eV/f.u. The density of states at the Fermi level is 2.28 states/eV/f.u. Its volume is 127.2 Å³ per cell. For the energy above the most stable polymorph in this dataset, the calculation gives 58 meV/atom.

It has space group Pm (No. 6), with a = 4.237 Å, b = 4.236 Å, c = 7.089 Å, α = 90.00°, β = 91.24° and γ = 90.00°. The inequivalent atoms are Ba at (0.000, 0.000, 0.000), Zn at (0.485, 0.000, 0.630), Zn at (0.983, 0.500, 0.630) and Br at (0.507, 0.500, 0.191).

---

Entry 13:
AcNd12Rh7 | GGA-PBE | optimized geometry

The density of states at the Fermi level is 17.37 states/eV/f.u. The calculation puts the formation enthalpy at 0 K at -892.3 kJ/mol of formula units. Its volume is 1866.5 Å³ per cell.

It has space group R-3 (No. 148, hexagonal axes), with a = 14.6413 Å, b = 14.6413 Å, c = 10.0541 Å, α = 90.00°, β = 90.00° and γ = 120.00°. The inequivalent atoms are Ac at (0.0000, 0.0000, 0.0000), Nd at (0.0307, 0.4388, 0.6656), Nd at (0.0486, 0.8726, 0.3354), Rh at (0.0000, 0.0000, 0.5000) and Rh at (0.0525, 0.8642, 0.8230).

---

Entry 14:
RhAuF5 | GGA-PBE | optimized geometry

The energy relative to the elements, uncorrected is -8.3 eV/f.u. The density of states at the Fermi level is 1.81 states/eV/f.u. Its volume is 226.1 Å³ per cell.

It has space group P-1 (No. 2), with a = 5.787 Å, b = 5.793 Å, c = 7.513 Å, α = 97.32°, β = 97.40° and γ = 112.68°. The inequivalent atoms are Rh at (0.000, 0.000, 0.000), Rh at (0.000, 0.000, 0.500), Au at (0.358, 0.640, 0.251), F at (0.077, 0.927, 0.750), F at (0.138, 0.742, 0.043), F at (0.258, 0.862, 0.456), F at (0.293, 0.342, 0.577) and F at (0.342, 0.293, 0.079).

---

Entry 15:
LiSiRu | GGA-PBE | optimized geometry

The energy relative to the elements, uncorrected is -0.7 eV/f.u. The density of states at the Fermi level is 1.15 states/eV/f.u. Its volume is 159.9 Å³ per cell.

It has space group Cc (No. 9), with a = 7.784 Å, b = 5.329 Å, c = 5.065 Å, α = 90.00°, β = 130.47° and γ = 90.00°. The inequivalent atoms are Li at (0.000, 0.132, 0.000), Si at (0.348, 0.001, 0.096) and Ru at (0.166, 0.334, 0.663).

---

Entry 16:
RbGe2Se3 | GGA-PBE | optimized geometry

The energy relative to the elements, uncorrected is -2.8 eV/f.u. The density of states at the Fermi level is 1.14 states/eV/f.u. Its volume is 352.7 Å³ per cell.

It has space group Pmc2_1 (No. 26), with a = 3.774 Å, b = 11.555 Å, c = 8.088 Å, α = 90.00°, β = 90.00° and γ = 90.00°. The inequivalent atoms are Rb at (0.000, 0.135, 0.000), Ge at (0.000, 0.240, 0.510), Ge at (0.500, 0.481, 0.083), Se at (0.000, 0.402, 0.728), Se at (0.500, 0.110, 0.631) and Se at (0.500, 0.309, 0.276).

---

Entry 17:
LiAl4Pd | GGA-PBE | optimized geometry

The density of states at the Fermi level is 1.21 states/eV/f.u. The calculation puts the formation enthalpy at 0 K at -168.8 kJ/mol of formula units. Its volume is 388.1 Å³ per cell. For the energy above the most stable polymorph in this dataset, the calculation gives 103 meV/atom.

It has space group C2/c (No. 15), with a = 5.996 Å, b = 9.062 Å, c = 7.723 Å, α = 90.00°, β = 112.33° and γ = 90.00°. The inequivalent atoms are Li at (0.000, 0.125, 0.250), Al at (0.090, 0.130, 0.941), Al at (0.105, 0.380, 0.441) and Pd at (0.000, 0.375, 0.750).

---

Entry 18:
ScOs2Br | GGA-PBE | optimized geometry

The energy relative to the elements, uncorrected is 3.7 eV/f.u. The density of states at the Fermi level is 3.56 states/eV/f.u. Its volume is 297.7 Å³ per cell. For the energy above the most stable polymorph in this dataset, the calculation gives 972 meV/atom.

It has space group I-42d (No. 122), with a = 7.708 Å, b = 7.708 Å, c = 5.011 Å, α = 90.00°, β = 90.00° and γ = 90.00°. The inequivalent atoms are Sc at (0.000, 0.000, 0.000), Os at (0.205, 0.250, 0.625) and Br at (0.000, 0.000, 0.500).

---

Entry 19:
Hg2Ge2Te | GGA-PBE | optimized geometry

The energy relative to the elements, uncorrected is 1.2 eV/f.u. The density of states at the Fermi level is 2.33 states/eV/f.u. Its volume is 259.8 Å³ per cell. For the energy above the most stable polymorph in this dataset, the calculation gives 17 meV/atom.

It has space group I4/mmm (No. 139), with a = 4.124 Å, b = 4.124 Å, c = 15.275 Å, α = 90.00°, β = 90.00° and γ = 90.00°. The inequivalent atoms are Hg at (0.000, 0.500, 0.250), Ge at (0.000, 0.000, 0.086) and Te at (0.000, 0.000, 0.500).

---

Entry 20:
Ce2TlIn | GGA-PBE | optimized geometry

The density of states at the Fermi level is 11.84 states/eV/f.u. The calculation puts the formation enthalpy at 0 K at -115.1 kJ/mol of formula units. Its volume is 111.2 Å³ per cell.

It has space group P4/mmm (No. 123), with a = 4.856 Å, b = 4.856 Å, c = 4.716 Å, α = 90.00°, β = 90.00° and γ = 90.00°. The inequivalent atoms are Ce at (0.000, 0.500, 0.000), Tl at (0.000, 0.000, 0.500) and In at (0.500, 0.500, 0.500).

---

Entry 21:
InReGe2H | GGA-PBE | optimized geometry

As for the total energy: -4.720 eV/atom. The density of states at the Fermi level is 3.12 states/eV/f.u. Its volume is 76.9 Å³ per cell.

It has space group P4/mmm (No. 123), with a = 4.095 Å, b = 4.095 Å, c = 4.590 Å, α = 90.00°, β = 90.00° and γ = 90.00°. The inequivalent atoms are In at (0.000, 0.000, 0.000), Re at (0.500, 0.500, 0.000), Ge at (0.000, 0.500, 0.500) and H at (0.000, 0.000, 0.500).

---

Entry 22:
Nd2Al9Co3 | GGA-PBE | optimized geometry

The density of states at the Fermi level is 8.19 states/eV/f.u. The calculation puts the formation enthalpy at 0 K at -704.9 kJ/mol of formula units. Its volume is 921.2 Å³ per cell. For the energy above the most stable polymorph in this dataset, the calculation gives 2 meV/atom.

It has space group C2/c (No. 15), with a = 13.016 Å, b = 7.443 Å, c = 10.467 Å, α = 90.00°, β = 114.70° and γ = 90.00°. The inequivalent atoms are Nd at (0.170, 0.083, 0.250), Al at (0.000, 0.368, 0.250), Al at (0.061, 0.083, 0.931), Al at (0.097, 0.415, 0.043), Al at (0.104, 0.315, 0.747), Al at (0.226, 0.417, 0.434), Co at (0.085, 0.245, 0.501) and Co at (0.250, 0.250, 0.000).

---

Entry 23:
NpTcNi2 | GGA-PBE | optimized geometry

The density of states at the Fermi level is 7.14 states/eV/f.u. The calculation puts the formation enthalpy at 0 K at -16.8 kJ/mol of formula units. Its volume is 57.9 Å³ per cell.

It has space group P4/mmm (No. 123), with a = 3.795 Å, b = 3.795 Å, c = 4.023 Å, α = 90.00°, β = 90.00° and γ = 90.00°. The inequivalent atoms are Np at (0.000, 0.000, 0.000), Tc at (0.500, 0.500, 0.000) and Ni at (0.000, 0.500, 0.500).